P | Here is crystalline CuBNF2 at its relaxed geometry from Alexandria. Energies are from PBE.

Properties
The total moment is 2.2 μB/cell. For the density of states at the Fermi level, the calculation gives 1.4 states/eV/f.u.

abc: 4.0654 4.0654 3.7305
angles: 90.00 90.00 90.00
Closest atoms and distances in Å follow each position.
Space group P4/mmm (No. 123)
Symmetry-distinct sites (fractional):
1 Cu 0.0000 0.0000 0.0000 x1  2 N 1.87, 4 F 2.03
2 B 0.5000 0.5000 0.5000 x1  8 F 2.76, 4 N 2.87
3 N 0.0000 0.0000 0.5000 x1  2 Cu 1.87
4 F 0.0000 0.5000 0.0000 x2  2 Cu 2.03


Q | Here is crystalline CuBNF2 at its relaxed geometry from Alexandria. Energies are from PBE.

Properties
The total moment is 1.0 μB/cell. For the density of states at the Fermi level, the calculation gives 4.2 states/eV/f.u.

abc: 4.2060 4.2060 2.7348
angles: 90.00 90.00 90.00
Closest atoms and distances in Å follow each position.
Space group P4/mmm (No. 123)
Symmetry-distinct sites (fractional):
1 Cu 0.0000 0.0000 0.0000 x1  8 F 2.51, 2 Cu 2.73
2 B 0.5000 0.5000 0.5000 x1  2 N 1.37
3 N 0.5000 0.5000 0.0000 x1  2 B 1.37
4 F 0.0000 0.5000 0.5000 x2  2 B 2.10


Relative to the most stable structure, the computed energies are P 1205; Q 0, all in meV/atom.